Material: KLa3Sn
Method: DFT, PBE
State: optimized geometry

The formation energy comes out at 72 kJ/mol of formula units. The relative energy among the computed polymorphs is 0.000 eV per atom. The calculation puts the calculated total energy at -3.83 eV per atom.

The space group is Pm-3m (No. 221) and the conventional cell measures 6.249, 6.249 and 6.249 Å, with angles of 90.00, 90.00 and 90.00 degrees. Symmetry generates all atoms from K at (0.000, 0.000, 0.000), La at (0.000, 0.500, 0.500) and Sn at (0.500, 0.500, 0.500).